Entry 1:
PBE SrCaPb3, relaxed; Fermi-level density of states = 0.728 states/eV/atom; crystal system = orthorhombic; energy relative to the lowest polymorph listed for this composition = 0.0 meV/atom; calculated total energy = -16.7 eV per formula unit; formation energy from the elements = -0.376 eV/atom
1.0
6.741 0.000 0.000
0.000 6.753 0.000
0.000 0.000 15.072
Pb Ca Sr
12 4 4
Direct
0.250 0.750 0.027
0.533 0.023 0.150
0.033 0.523 0.850
0.250 0.250 0.473
0.967 0.477 0.150
0.533 0.977 0.350
0.467 0.023 0.650
0.467 0.977 0.850
0.967 0.523 0.350
0.750 0.250 0.973
0.033 0.477 0.650
0.750 0.750 0.527
0.250 0.750 0.499
0.750 0.250 0.501
0.250 0.250 0.001
0.750 0.750 0.999
0.975 0.000 0.750
0.525 0.500 0.750
0.475 0.500 0.250
0.025 0.000 0.250

***

Entry 2:
PBE Sr2CaPb, relaxed; Fermi-level density of states = 0.824 states/eV/atom; crystal system = monoclinic; calculated total energy = -10.1 eV per formula unit; formation energy from the elements = -0.258 eV/atom
1.0
-3.524 1.338 -3.031
-1.453 -3.805 0.009
-6.201 -1.988 6.331
Ca Sr Pb
1 2 1
Direct
0.500 0.250 0.250
0.000 0.034 0.966
0.000 0.466 0.534
0.500 0.750 0.750

***

Entry 3:
PBE Sr3CaPb2, relaxed; Fermi-level density of states = 0.877 states/eV/atom; crystal system = orthorhombic; calculated total energy = -17.1 eV per formula unit; formation energy from the elements = -0.436 eV/atom
1.0
-4.112 -2.184 0.052
0.062 -0.245 -5.339
6.394 -7.002 3.070
Sr Pb Ca
3 2 1
Direct
0.182 0.682 0.364
0.818 0.318 0.636
0.500 0.500 0.000
0.630 0.130 0.259
0.370 0.870 0.741
0.000 0.000 0.000

***

Entry 4:
PBE SrCa2Pb, relaxed; Fermi-level density of states = 0.603 states/eV/atom; crystal system = cubic; calculated total energy = -10.3 eV per formula unit; formation energy from the elements = -0.238 eV/atom
1.0
-2.261 2.255 4.975
-5.536 -1.324 1.596
-0.975 -3.506 4.658
Sr Ca Pb
1 2 1
Direct
0.750 0.750 0.750
0.000 0.000 0.000
0.250 0.250 0.250
0.500 0.500 0.500

***

Entry 5:
PBE Sr2CaPb9, relaxed; Fermi-level density of states = 0.388 states/eV/atom; crystal system = tetragonal; calculated total energy = -42.8 eV per formula unit; formation energy from the elements = -0.341 eV/atom
1.0
-4.339 -2.179 -1.205
1.063 -3.811 3.061
-6.740 7.182 11.284
Pb Ca Sr
9 1 2
Direct
0.500 0.000 0.500
0.500 0.000 0.838
0.500 0.500 0.000
0.000 0.500 0.500
0.500 0.000 0.162
0.000 0.500 0.838
0.500 0.500 0.331
0.000 0.500 0.162
0.500 0.500 0.669
0.000 0.000 0.000
0.000 0.000 0.331
0.000 0.000 0.669

***

Entry 6:
PBE SrCa2Pb9, relaxed; Fermi-level density of states = 0.442 states/eV/atom; crystal system = tetragonal; calculated total energy = -43.0 eV per formula unit; formation energy from the elements = -0.330 eV/atom
1.0
4.975 0.000 0.000
0.000 4.975 0.000
0.000 0.000 14.881
Ca Pb Sr
2 9 1
Direct
0.000 0.000 0.664
0.000 0.000 0.336
0.500 0.000 0.828
0.500 0.500 0.000
0.500 0.000 0.172
0.500 0.500 0.665
0.000 0.500 0.172
0.500 0.000 0.500
0.500 0.500 0.335
0.000 0.500 0.828
0.000 0.500 0.500
0.000 0.000 0.000

***

Entry 7:
PBE Sr2CaPb, relaxed; Fermi-level density of states = 0.942 states/eV/atom; crystal system = cubic; calculated total energy = -9.8 eV per formula unit; formation energy from the elements = -0.185 eV/atom
1.0
-4.870 -1.471 3.259
-0.014 -5.065 3.292
0.192 0.316 6.030
Sr Ca Pb
2 1 1
Direct
0.000 0.000 0.000
0.250 0.250 0.250
0.500 0.500 0.500
0.750 0.750 0.750

***

Entry 8:
PBE Sr2CaPb, relaxed; Fermi-level density of states = 0.728 states/eV/atom; crystal system = tetragonal; calculated total energy = -10.2 eV per formula unit; formation energy from the elements = -0.276 eV/atom
1.0
3.996 0.000 0.000
0.000 3.996 0.000
0.000 0.000 10.468
Ca Pb Sr
1 1 2
Direct
0.000 0.000 0.557
0.500 0.500 0.736
0.000 0.000 0.943
0.500 0.500 0.264

***

Entry 9:
PBE SrCa2Pb, relaxed; Fermi-level density of states = 0.589 states/eV/atom; crystal system = tetragonal; calculated total energy = -10.8 eV per formula unit; formation energy from the elements = -0.346 eV/atom
1.0
-1.137 -4.905 -1.118
5.015 -1.196 0.148
-0.408 -1.076 5.134
Sr Ca Pb
1 2 1
Direct
0.000 0.500 0.500
0.000 0.000 0.000
0.500 0.500 0.000
0.500 0.000 0.500

***

Entry 10:
PBE Sr2CaPb, relaxed; Fermi-level density of states = 0.861 states/eV/atom; crystal system = tetragonal; calculated total energy = -9.0 eV per formula unit; formation energy from the elements = 0.015 eV/atom
1.0
-3.357 3.734 -1.159
-1.380 -2.561 -4.255
-11.282 -5.410 3.793
Sr Pb Ca
4 2 2
Direct
0.645 0.125 0.250
0.875 0.895 0.750
0.105 0.625 0.250
0.375 0.355 0.750
0.750 0.250 0.500
0.000 0.000 0.000
0.500 0.500 0.000
0.250 0.750 0.500

***

Entry 11:
PBE SrCa3Pb, relaxed; Fermi-level density of states = 0.811 states/eV/atom; crystal system = cubic; energy relative to the lowest polymorph listed for this composition = 982.3 meV/atom; calculated total energy = -7.1 eV per formula unit; formation energy from the elements = 0.867 eV/atom
1.0
-1.037 -0.052 6.067
2.976 -5.369 0.463
5.288 3.011 0.930
Ca Pb Sr
3 1 1
Direct
0.500 0.000 0.000
0.000 0.500 0.000
0.000 0.000 0.500
0.500 0.500 0.500
0.000 0.000 0.000

***

Entry 12:
PBE SrCa2Pb, relaxed; Fermi-level density of states = 0.672 states/eV/atom; crystal system = orthorhombic; calculated total energy = -10.9 eV per formula unit; formation energy from the elements = -0.374 eV/atom
1.0
4.985 0.000 0.000
-2.493 6.509 0.000
0.000 0.000 9.675
Pb Sr Ca
2 2 4
Direct
0.764 0.528 0.750
0.236 0.472 0.250
0.942 0.883 0.250
0.058 0.117 0.750
0.649 0.297 0.058
0.351 0.703 0.558
0.649 0.297 0.442
0.351 0.703 0.942

***

- Which of these has the lowest calculated total energy?
  SrCa2Pb9

***

Repeat the fifth record exactly.
PBE Sr2CaPb9, relaxed; Fermi-level density of states = 0.388 states/eV/atom; crystal system = tetragonal; calculated total energy = -42.8 eV per formula unit; formation energy from the elements = -0.341 eV/atom
1.0
-4.339 -2.179 -1.205
1.063 -3.811 3.061
-6.740 7.182 11.284
Pb Ca Sr
9 1 2
Direct
0.500 0.000 0.500
0.500 0.000 0.838
0.500 0.500 0.000
0.000 0.500 0.500
0.500 0.000 0.162
0.000 0.500 0.838
0.500 0.500 0.331
0.000 0.500 0.162
0.500 0.500 0.669
0.000 0.000 0.000
0.000 0.000 0.331
0.000 0.000 0.669